No. 1
Here is a relaxed Co2TcAg crystal from the Alexandria database. Energies are from PBE. Values from VASP.

Geometry as Quantum ESPRESSO input:
```
&SYSTEM
  ibrav = 0, nat = 4, ntyp = 3
/
ATOMIC_SPECIES
Tc 98.00 Tc.upf
Co 58.93 Co.upf
Ag 107.87 Ag.upf
ATOMIC_POSITIONS crystal
Tc 0.527 0.527 0.000
Co 0.972 0.972 0.000
Co 0.761 0.261 0.500
Ag 0.240 0.740 0.500
CELL_PARAMETERS angstrom
5.281 -0.004 0.003
2.747 4.510 -0.003
-3.417 -3.317 2.283
```

Computed properties:
E	-25.6	eV per cell
formation energy from the elements	1.80	eV/f.u.
E above lowest polymorph	187	meV per atom

No. 2
Here is a relaxed CoTc2Ag crystal from the Alexandria database. Energies are from PBE. Values from VASP.

Geometry as Quantum ESPRESSO input:
```
&SYSTEM
  ibrav = 0, nat = 4, ntyp = 3
/
ATOMIC_SPECIES
Co 58.93 Co.upf
Tc 98.00 Tc.upf
Ag 107.87 Ag.upf
ATOMIC_POSITIONS crystal
Co 0.500 0.500 0.765
Tc 0.500 0.500 0.232
Tc 0.000 0.000 0.992
Ag 0.000 0.000 0.511
CELL_PARAMETERS angstrom
2.664 -0.075 0.000
-1.023 2.461 0.000
0.000 0.000 9.117
```

Computed properties:
E	-29.1	eV per cell
formation energy from the elements	1.55	eV/f.u.
E above lowest polymorph	134	meV per atom

No. 3
Here is a relaxed Co2TcAg crystal from the Alexandria database. Energies are from PBE. Values from VASP.

Geometry as Quantum ESPRESSO input:
```
&SYSTEM
  ibrav = 0, nat = 4, ntyp = 3
/
ATOMIC_SPECIES
Co 58.93 Co.upf
Ag 107.87 Ag.upf
Tc 98.00 Tc.upf
ATOMIC_POSITIONS crystal
Co 0.000 0.000 0.477
Co 0.000 0.000 0.023
Ag 0.500 0.500 0.750
Tc 0.500 0.500 0.250
CELL_PARAMETERS angstrom
2.684 0.000 0.000
0.000 2.684 0.000
0.000 0.000 7.381
```

Computed properties:
E	-26.4	eV per cell
formation energy from the elements	1.05	eV/f.u.
E above lowest polymorph	0	meV per atom

No. 4
Here is a relaxed CoTc2Ag crystal from the Alexandria database. Energies are from PBE. Values from VASP.

Geometry as Quantum ESPRESSO input:
```
&SYSTEM
  ibrav = 0, nat = 4, ntyp = 3
/
ATOMIC_SPECIES
Tc 98.00 Tc.upf
Co 58.93 Co.upf
Ag 107.87 Ag.upf
ATOMIC_POSITIONS crystal
Tc 0.036 0.036 0.000
Tc 0.464 0.464 0.000
Co 0.250 0.750 0.500
Ag 0.750 0.250 0.500
CELL_PARAMETERS angstrom
5.508 0.000 0.000
3.049 4.587 0.000
-3.728 -3.320 2.327
```

Computed properties:
E	-29.0	eV per cell
formation energy from the elements	1.73	eV/f.u.
E above lowest polymorph	179	meV per atom

No. 5
Here is a relaxed Co2TcAg crystal from the Alexandria database. Energies are from PBE. Values from VASP.

Geometry as Quantum ESPRESSO input:
```
&SYSTEM
  ibrav = 0, nat = 4, ntyp = 3
/
ATOMIC_SPECIES
Co 58.93 Co.upf
Ag 107.87 Ag.upf
Tc 98.00 Tc.upf
ATOMIC_POSITIONS crystal
Co 0.000 0.000 0.000
Co 0.250 0.750 0.500
Ag 0.750 0.250 0.500
Tc 0.500 0.500 0.000
CELL_PARAMETERS angstrom
-0.357 -3.142 -3.532
0.484 -4.509 1.383
-2.614 3.672 1.469
```

Computed properties:
E	-25.4	eV per cell
formation energy from the elements	2.05	eV/f.u.
E above lowest polymorph	249	meV per atom

No. 6
Here is a relaxed Co2TcAg crystal from the Alexandria database. Energies are from PBE. Values from VASP.

Geometry as Quantum ESPRESSO input:
```
&SYSTEM
  ibrav = 0, nat = 4, ntyp = 3
/
ATOMIC_SPECIES
Tc 98.00 Tc.upf
Co 58.93 Co.upf
Ag 107.87 Ag.upf
ATOMIC_POSITIONS crystal
Tc 0.250 0.250 0.250
Co 0.994 0.994 0.994
Co 0.506 0.506 0.506
Ag 0.750 0.750 0.750
CELL_PARAMETERS angstrom
-7.928 3.382 -1.994
-8.283 0.909 -2.974
-8.728 1.398 -0.373
```

Computed properties:
E	-26.2	eV per cell
formation energy from the elements	1.23	eV/f.u.
E above lowest polymorph	45	meV per atom

No. 7
Here is a relaxed Co2TcAg crystal from the Alexandria database. Energies are from PBE. Values from VASP.

Geometry as Quantum ESPRESSO input:
```
&SYSTEM
  ibrav = 0, nat = 4, ntyp = 3
/
ATOMIC_SPECIES
Co 58.93 Co.upf
Tc 98.00 Tc.upf
Ag 107.87 Ag.upf
ATOMIC_POSITIONS crystal
Co 0.267 0.267 0.274
Co 0.976 0.976 0.990
Tc 0.518 0.518 0.448
Ag 0.738 0.738 0.788
CELL_PARAMETERS angstrom
4.818 0.011 0.034
4.090 2.547 0.034
1.178 0.338 4.398
```

Computed properties:
E	-25.8	eV per cell
formation energy from the elements	1.58	eV/f.u.
E above lowest polymorph	132	meV per atom

No. 8
Here is a relaxed CoTc2Ag crystal from the Alexandria database. Energies are from PBE. Values from VASP.

Geometry as Quantum ESPRESSO input:
```
&SYSTEM
  ibrav = 0, nat = 4, ntyp = 3
/
ATOMIC_SPECIES
Tc 98.00 Tc.upf
Co 58.93 Co.upf
Ag 107.87 Ag.upf
ATOMIC_POSITIONS crystal
Tc 0.250 0.250 0.250
Tc 0.750 0.750 0.750
Co 0.000 0.000 0.000
Ag 0.500 0.500 0.500
CELL_PARAMETERS angstrom
0.000 3.073 3.073
3.073 0.000 3.073
3.073 3.073 0.000
```

Computed properties:
E	-27.7	eV per cell
formation energy from the elements	2.94	eV/f.u.
E above lowest polymorph	482	meV per atom

No. 9
Here is a relaxed Co2TcAgTe crystal from the Alexandria database. Energies are from PBE. Values from VASP.

Geometry as Quantum ESPRESSO input:
```
&SYSTEM
  ibrav = 0, nat = 5, ntyp = 4
/
ATOMIC_SPECIES
Te 127.60 Te.upf
Co 58.93 Co.upf
Ag 107.87 Ag.upf
Tc 98.00 Tc.upf
ATOMIC_POSITIONS crystal
Te 0.000 0.000 0.000
Co 0.000 0.000 0.500
Co 0.500 0.000 0.000
Ag 0.500 0.500 0.500
Tc 0.000 0.500 0.000
CELL_PARAMETERS angstrom
-0.344 0.792 4.530
-4.323 -2.399 0.091
2.212 -3.953 0.859
```

Computed properties:
E	-23.9	eV per cell
raw formation energy	1.326	eV/atom

No. 10
Here is a relaxed CoAgTe2 crystal from the Alexandria database. Energies are from PBE. Values from VASP.

Geometry as Quantum ESPRESSO input:
```
&SYSTEM
  ibrav = 0, nat = 4, ntyp = 3
/
ATOMIC_SPECIES
Co 58.93 Co.upf
Te 127.60 Te.upf
Ag 107.87 Ag.upf
ATOMIC_POSITIONS crystal
Co 0.500 0.500 0.000
Te 0.000 0.000 0.000
Te 0.500 0.000 0.500
Ag 0.000 0.500 0.500
CELL_PARAMETERS angstrom
-2.485 -3.157 -7.035
-1.982 0.103 5.800
-2.070 2.252 0.682
```

Computed properties:
E	-14.7	eV per cell
raw formation energy	0.379	eV/atom

No. 11
Here is a relaxed CoAgTe2 crystal from the Alexandria database. Energies are from PBE. Values from VASP.

Geometry as Quantum ESPRESSO input:
```
&SYSTEM
  ibrav = 0, nat = 4, ntyp = 3
/
ATOMIC_SPECIES
Ag 107.87 Ag.upf
Te 127.60 Te.upf
Co 58.93 Co.upf
ATOMIC_POSITIONS crystal
Ag 0.486 0.486 0.486
Te 0.227 0.227 0.227
Te 0.036 0.036 0.036
Co 0.751 0.751 0.751
CELL_PARAMETERS angstrom
7.318 -0.112 -0.068
6.320 3.691 -0.068
6.320 1.659 3.298
```

Computed properties:
E	-15.5	eV per cell
raw formation energy	0.176	eV/atom

No. 12
Here is a relaxed CoAgTe2 crystal from the Alexandria database. Energies are from PBE. Values from VASP.

Geometry as Quantum ESPRESSO input:
```
&SYSTEM
  ibrav = 0, nat = 4, ntyp = 3
/
ATOMIC_SPECIES
Co 58.93 Co.upf
Te 127.60 Te.upf
Ag 107.87 Ag.upf
ATOMIC_POSITIONS crystal
Co 0.500 0.000 0.500
Te 0.000 0.500 0.500
Te 0.000 0.000 0.000
Ag 0.500 0.500 0.000
CELL_PARAMETERS angstrom
3.519 0.000 0.000
0.000 4.827 0.000
0.000 0.000 4.827
```

Computed properties:
E	-14.3	eV per cell
raw formation energy	0.488	eV/atom